# 1
A relaxed structure of RbAs2RhO8. Source: the Alexandria database, functional PBE.

Cell lengths 5.5011, 5.5011, 26.3893 Å; angles 90.00, 90.00, 120.00 degrees
Space group R32 (No. 155, hexagonal axes)
One atom of each set of equivalent atoms:
Rb1 0.0000 0.0000 0.0000 (multiplicity 3)
As1 0.0000 0.0000 0.2323 (multiplicity 6)
Rh1 0.0000 0.0000 0.5000 (multiplicity 3)
O1 0.0000 0.0000 0.2957 (multiplicity 6)
O2 0.0156 0.5042 0.1192 (multiplicity 18)

# 2
A relaxed structure of AcTaAs3. Source: the Alexandria database, functional PBE.

Cell lengths 5.0405, 5.0405, 5.0405 Å; angles 90.00, 90.00, 90.00 degrees
Space group Pm-3m (No. 221)
One atom of each set of equivalent atoms:
Ac1 0.0000 0.0000 0.0000 (multiplicity 1)
Ta1 0.5000 0.5000 0.5000 (multiplicity 1)
As1 0.0000 0.5000 0.5000 (multiplicity 3)

Calculated formation energy ... -0.5551 eV per atom

# 3
A relaxed structure of Li6Zn2Pb3. Source: the Alexandria database, functional PBE.

Cell lengths 3.8243, 3.8243, 31.1942 Å; angles 90.00, 90.00, 90.00 degrees
Space group I4/mmm (No. 139)
One atom of each set of equivalent atoms:
Li1 0.0000 0.0000 0.2252 (multiplicity 4)
Li2 0.0000 0.5000 0.0734 (multiplicity 8)
Zn1 0.0000 0.0000 0.1329 (multiplicity 4)
Pb1 0.0000 0.0000 0.3251 (multiplicity 4)
Pb2 0.0000 0.0000 0.5000 (multiplicity 2)

Calculated formation energy ... -0.1035 eV per atom

Sequential total DFT energy (no corrections) output: -205.2, -32.7, -52.6 eV per cell